AcPm6Sm5 | the Alexandria database | PBE | relaxed; formation energy = 0.022 eV per atom; symmetry = C2/m, No. 12
1.0
3.1792 -5.5061 0.0000
3.1792 5.5061 0.0000
-2.1314 0.0000 11.9889
Ac Pm Sm
1 6 5
Direct
0.0000 0.0000 0.0000
0.0840 0.4199 0.2534
0.2516 0.2516 0.7464
0.4199 0.0840 0.2534
0.5801 0.9160 0.7466
0.7484 0.7484 0.2536
0.9160 0.5801 0.7466
0.1671 0.8329 0.5000
0.3335 0.6665 0.0000
0.5000 0.5000 0.5000
0.6665 0.3335 0.0000
0.8329 0.1671 0.5000

---

Ac2Pm4Sm7 | the Alexandria database | PBE | relaxed; formation energy = 0.175 eV per atom; symmetry = P-31m, No. 162
1.0
6.3239 0.0000 0.0000
-3.1619 5.4766 0.0000
0.0000 0.0000 13.5005
Ac Pm Sm
2 4 7
Direct
0.3333 0.6667 0.0000
0.6667 0.3333 0.0000
0.0000 0.0000 0.3934
0.0000 0.0000 0.6066
0.3333 0.6667 0.5000
0.6667 0.3333 0.5000
0.0000 0.0000 0.0000
0.0000 0.3644 0.7775
0.0000 0.6356 0.2225
0.3644 0.0000 0.7775
0.3644 0.3644 0.2225
0.6356 0.0000 0.2225
0.6356 0.6356 0.7775

---

Ac4Pm5Sm2 | the Alexandria database | PBE | relaxed; formation energy = 0.038 eV per atom; symmetry = C2/m, No. 12
1.0
9.5870 -2.6838 0.0000
9.5870 2.6838 0.0000
-2.0781 0.0000 8.0973
Ac Pm Sm
4 5 2
Direct
0.0441 0.0441 0.2296
0.3178 0.3178 0.5906
0.6822 0.6822 0.4094
0.9559 0.9559 0.7704
0.1384 0.1384 0.6914
0.2263 0.2263 0.1262
0.5000 0.5000 0.5000
0.7737 0.7737 0.8738
0.8616 0.8616 0.3086
0.4080 0.4080 0.0501
0.5920 0.5920 0.9499

---

AcPm2Sm4 | the Alexandria database | PBE | relaxed; ΔE to the lowest computed polymorph = 0.014 eV per atom; formation energy = 0.222 eV per atom; symmetry = I4/mmm, No. 139
1.0
4.6368 0.0000 0.0000
0.0000 4.6368 0.0000
0.0000 0.0000 23.8042
Ac Pm Sm
2 4 8
Direct
0.0000 0.0000 0.0000
0.5000 0.5000 0.5000
0.0000 0.0000 0.3950
0.0000 0.0000 0.6050
0.5000 0.5000 0.1050
0.5000 0.5000 0.8950
0.0000 0.0000 0.1425
0.0000 0.0000 0.8575
0.0000 0.5000 0.2500
0.0000 0.5000 0.7500
0.5000 0.0000 0.2500
0.5000 0.0000 0.7500
0.5000 0.5000 0.3575
0.5000 0.5000 0.6425

---

Ac2Pm5Sm4 | the Alexandria database | PBE | relaxed; ΔE to the lowest computed polymorph = 0.000 eV per atom; formation energy = 0.145 eV per atom; symmetry = C2/m, No. 12
1.0
6.4946 -3.4956 0.0000
6.4946 3.4956 0.0000
-6.4687 0.0000 8.7624
Ac Pm Sm
2 5 4
Direct
0.0668 0.0668 0.2435
0.9332 0.9332 0.7565
0.0765 0.6086 0.3329
0.3914 0.9235 0.6671
0.5000 0.5000 0.0000
0.6086 0.0765 0.3329
0.9235 0.3914 0.6671
0.2625 0.2625 0.0319
0.3912 0.3912 0.6269
0.6088 0.6088 0.3731
0.7375 0.7375 0.9681

---

Ac12Pm5Sm2 | the Alexandria database | PBE | relaxed; formation energy = 0.126 eV per atom; symmetry = C2/m, No. 12
1.0
7.4799 -5.8899 0.0000
7.4799 5.8899 0.0000
-1.4786 0.0000 9.0220
Ac Pm Sm
12 5 2
Direct
0.0788 0.0788 0.2159
0.1169 0.5241 0.6956
0.1240 0.6586 0.1131
0.3414 0.8760 0.8869
0.3682 0.3682 0.3762
0.4759 0.8831 0.3044
0.5241 0.1169 0.6956
0.6318 0.6318 0.6238
0.6586 0.1240 0.1131
0.8760 0.3414 0.8869
0.8831 0.4759 0.3044
0.9212 0.9212 0.7841
0.1406 0.1406 0.6229
0.2681 0.2681 0.9817
0.5000 0.5000 0.0000
0.7319 0.7319 0.0183
0.8594 0.8594 0.3771
0.2222 0.7778 0.5000
0.7778 0.2222 0.5000

---

Ac12Pm5Sm | the Alexandria database | PBE | relaxed; formation energy = 0.049 eV per atom; symmetry = Amm2, No. 38
1.0
6.2447 0.0000 0.0000
0.0000 5.9340 10.1301
0.0000 -5.9340 10.1301
Ac Pm Sm
12 5 1
Direct
0.0000 0.1623 0.8377
0.0000 0.1712 0.4955
0.0000 0.4955 0.1712
0.0000 0.5045 0.8286
0.0000 0.8286 0.5045
0.0000 0.8377 0.1623
0.5000 0.2782 0.9539
0.5000 0.2875 0.6114
0.5000 0.6114 0.2875
0.5000 0.6207 0.9448
0.5000 0.9448 0.6207
0.5000 0.9539 0.2782
0.0000 0.1711 0.1711
0.0000 0.8378 0.8378
0.5000 0.2783 0.2783
0.5000 0.6114 0.6114
0.5000 0.9448 0.9448
0.0000 0.5043 0.5043

---

AcPm2Sm4 | the Alexandria database | PBE | relaxed; ΔE to the lowest computed polymorph = 0.000 eV per atom; formation energy = 0.208 eV per atom; symmetry = P4_2/mnm, No. 136
1.0
9.4361 0.0000 0.0000
0.0000 9.4361 0.0000
0.0000 0.0000 5.8832
Ac Pm Sm
2 4 8
Direct
0.0000 0.0000 0.0000
0.5000 0.5000 0.5000
0.1970 0.1970 0.5000
0.3030 0.6970 0.0000
0.6970 0.3030 0.0000
0.8030 0.8030 0.5000
0.1115 0.3723 0.0000
0.1277 0.6115 0.5000
0.3723 0.1115 0.0000
0.3885 0.8723 0.5000
0.6115 0.1277 0.5000
0.6277 0.8885 0.0000
0.8723 0.3885 0.5000
0.8885 0.6277 0.0000

---

Ac4PmSm2 | the Alexandria database | PBE | relaxed; formation energy = 0.250 eV per atom; symmetry = C2/m, No. 12
1.0
13.0966 0.0000 0.0000
0.0000 6.0806 0.0000
-5.2771 0.0000 7.3215
Ac Pm Sm
8 2 4
Direct
0.1603 0.0000 0.0199
0.1699 0.0000 0.5577
0.3301 0.5000 0.4423
0.3397 0.5000 0.9801
0.6603 0.5000 0.0199
0.6699 0.5000 0.5577
0.8301 0.0000 0.4423
0.8397 0.0000 0.9801
0.0000 0.5000 0.0000
0.5000 0.0000 0.0000
0.0090 0.5000 0.6713
0.4910 0.0000 0.3287
0.5090 0.0000 0.6713
0.9910 0.5000 0.3287

---

Ac6Pm3Sm2 | the Alexandria database | PBE | relaxed; formation energy = 0.043 eV per atom; symmetry = P-1, No. 2
1.0
6.6349 0.0000 0.0000
-2.2097 8.2814 0.0000
-1.0982 -2.9231 7.9930
Ac Pm Sm
6 3 2
Direct
0.0534 0.1816 0.4049
0.1370 0.5484 0.2327
0.3214 0.2668 0.8689
0.6786 0.7332 0.1311
0.8630 0.4516 0.7673
0.9466 0.8184 0.5951
0.4077 0.6433 0.6845
0.5000 0.0000 0.5000
0.5923 0.3567 0.3155
0.2321 0.9126 0.0474
0.7679 0.0874 0.9526

---

Ac7PmSm3 | the Alexandria database | PBE | relaxed; formation energy = 0.260 eV per atom; symmetry = C2/m, No. 12
1.0
6.1703 -5.5757 0.0000
6.1703 5.5757 0.0000
-0.8506 0.0000 6.8510
Ac Pm Sm
7 1 3
Direct
0.0000 0.0000 0.0000
0.0821 0.4252 0.2598
0.2646 0.2646 0.7719
0.4252 0.0821 0.2598
0.5748 0.9179 0.7402
0.7354 0.7354 0.2281
0.9179 0.5748 0.7402
0.0000 0.0000 0.5000
0.3368 0.6632 0.0000
0.5000 0.5000 0.5000
0.6632 0.3368 0.0000

---

Ac4Pm2Sm5 | the Alexandria database | PBE | relaxed; formation energy = 0.040 eV per atom; symmetry = C2/m, No. 12
1.0
9.5638 -2.6812 0.0000
9.5638 2.6812 0.0000
-2.0567 0.0000 8.0884
Ac Pm Sm
4 2 5
Direct
0.0441 0.0441 0.2302
0.3178 0.3178 0.5898
0.6822 0.6822 0.4102
0.9559 0.9559 0.7698
0.4078 0.4078 0.0504
0.5922 0.5922 0.9496
0.1388 0.1388 0.6918
0.2262 0.2262 0.1260
0.5000 0.5000 0.5000
0.7738 0.7738 0.8740
0.8612 0.8612 0.3082

---

Q: Number 12 is which compound?
A: Ac4Pm2Sm5